(1)
First-principles (PBE) data for a geometry-optimized Cs2ZrOsF6 structure, as listed in Alexandria.

Lattice parameters (Å, degrees): 6.8013 6.8013 6.8013 111.49 111.49 105.50
With the nearest neighbours (Å) after each atom.
Element x y z (fractional)
Cs  0.2500  0.7500  0.5000  12 F 3.47-3.83
Cs  0.7500  0.2500  0.5000  12 F 3.47-3.83
Zr  0.0000  0.0000  0.0000  6 F 2.03-2.09
Os  0.5000  0.5000  0.0000  2 F 2.03
F  0.1877  0.1877  0.3754  1 Zr 2.03
F  0.1877  0.8123  0.0000  1 Zr 2.03
F  0.2535  0.2535  0.0000  1 Os 2.03, 1 Zr 2.09
F  0.7465  0.7465  0.0000  1 Os 2.03, 1 Zr 2.09
F  0.8123  0.1877  0.0000  1 Zr 2.03
F  0.8123  0.8123  0.6246  1 Zr 2.03

- V: 24.1 Å³/atom
- Fermi-level density of states: 11.17 states/eV/cell

***

(2)
First-principles (PBE) data for a geometry-optimized Cs2PF8 structure, as listed in Alexandria.

Lattice parameters (Å, degrees): 7.0160 7.0160 5.4810 107.65 107.65 72.94
With the nearest neighbours (Å) after each atom.
Element x y z (fractional)
Cs  0.1836  0.1836  0.2815  6 F 2.93-3.14
Cs  0.8164  0.8164  0.7185  6 F 2.93-3.14
P  0.5000  0.5000  0.0000  6 F 1.62-1.65
F  0.0696  0.0696  0.6821  1 F 2.02
F  0.2589  0.5375  0.8333  1 P 1.65
F  0.4361  0.4361  0.2206  1 P 1.62
F  0.4625  0.7411  0.1667  1 P 1.65
F  0.5375  0.2589  0.8333  1 P 1.65
F  0.5639  0.5639  0.7794  1 P 1.62
F  0.7411  0.4625  0.1667  1 P 1.65
F  0.9304  0.9304  0.3179  1 F 2.02

- V: 21.7 Å³/atom

***

(3)
First-principles (PBE) data for a geometry-optimized CsPF3 structure, as listed in Alexandria.

Lattice parameters (Å, degrees): 4.3087 4.3087 4.3087 90.00 90.00 90.00
With the nearest neighbours (Å) after each atom.
Element x y z (fractional)
Cs  0.0000  0.0000  0.0000  12 F 3.05
P  0.5000  0.5000  0.5000  6 F 2.15
F  0.0000  0.5000  0.5000  2 P 2.15
F  0.5000  0.0000  0.5000  2 P 2.15
F  0.5000  0.5000  0.0000  2 P 2.15

- ΔE to the lowest computed polymorph: 217 meV per atom
- V: 16.0 Å³/atom
- Fermi-level density of states: 1.54 states/eV/cell

***

(4)
First-principles (PBE) data for a geometry-optimized CsPF3 structure, as listed in Alexandria.

Lattice parameters (Å, degrees): 5.1604 5.1604 5.1604 90.00 90.00 90.00
With the nearest neighbours (Å) after each atom.
Element x y z (fractional)
Cs  0.0000  0.0000  0.0000  6 F 2.58
P  0.5000  0.5000  0.5000  12 F 3.65
F  0.0000  0.0000  0.5000  2 Cs 2.58
F  0.0000  0.5000  0.0000  2 Cs 2.58
F  0.5000  0.0000  0.0000  2 Cs 2.58

- ΔE to the lowest computed polymorph: 1504 meV per atom
- V: 27.5 Å³/atom
- Fermi-level density of states: 15.70 states/eV/cell

***

(5)
First-principles (PBE) data for a geometry-optimized Cs2PF structure, as listed in Alexandria.

Lattice parameters (Å, degrees): 7.6151 7.6151 7.6151 112.02 112.02 104.49
With the nearest neighbours (Å) after each atom.
Element x y z (fractional)
Cs  0.0476  0.6250  0.9226  2 F 2.84
Cs  0.3750  0.2976  0.4226  2 F 2.84
Cs  0.7024  0.1250  0.0774  2 F 2.84
Cs  0.8750  0.9524  0.5774  2 F 2.84
P  0.2500  0.7500  0.5000  4 Cs 3.70
P  0.5000  0.5000  0.0000  4 Cs 3.70
F  0.0000  0.0000  0.0000  4 Cs 2.84
F  0.7500  0.2500  0.5000  4 Cs 2.84

- ΔE to the lowest computed polymorph: 0 meV per atom
- V: 42.3 Å³/atom
- Fermi-level density of states: 5.73 states/eV/cell

***

(6)
First-principles (PBE) data for a geometry-optimized Cs3PF structure, as listed in Alexandria.

Lattice parameters (Å, degrees): 5.8125 5.8125 5.8125 90.00 90.00 90.00
With the nearest neighbours (Å) after each atom.
Element x y z (fractional)
Cs  0.0000  0.0000  0.5000  2 F 2.91
Cs  0.0000  0.5000  0.0000  2 F 2.91
Cs  0.5000  0.0000  0.0000  2 F 2.91
P  0.5000  0.5000  0.5000  12 Cs 4.11
F  0.0000  0.0000  0.0000  6 Cs 2.91

- ΔE to the lowest computed polymorph: 0 meV per atom
- V: 39.3 Å³/atom
- Fermi-level density of states: 6.18 states/eV/cell

***

(7)
First-principles (PBE) data for a geometry-optimized Cs3PF6 structure, as listed in Alexandria.

Lattice parameters (Å, degrees): 6.8404 6.8404 6.8404 60.00 60.00 60.00
With the nearest neighbours (Å) after each atom.
Element x y z (fractional)
Cs  0.0000  0.0000  0.0000  6 F 2.84
Cs  0.2500  0.2500  0.2500  12 F 3.45
Cs  0.7500  0.7500  0.7500  12 F 3.45
P  0.5000  0.5000  0.5000  6 F 2.00
F  0.2932  0.2932  0.7068  1 P 2.00
F  0.2932  0.7068  0.2932  1 P 2.00
F  0.2932  0.7068  0.7068  1 P 2.00
F  0.7068  0.2932  0.2932  1 P 2.00
F  0.7068  0.2932  0.7068  1 P 2.00
F  0.7068  0.7068  0.2932  1 P 2.00

- V: 22.6 Å³/atom
- Fermi-level density of states: 0.00 states/eV/cell

***

(8)
First-principles (PBE) data for a geometry-optimized CsP3F structure, as listed in Alexandria.

Lattice parameters (Å, degrees): 4.8033 4.8033 4.8033 90.00 90.00 90.00
With the nearest neighbours (Å) after each atom.
Element x y z (fractional)
Cs  0.0000  0.0000  0.0000  12 P 3.40
P  0.0000  0.5000  0.5000  2 F 2.40
P  0.5000  0.0000  0.5000  2 F 2.40
P  0.5000  0.5000  0.0000  2 F 2.40
F  0.5000  0.5000  0.5000  6 P 2.40

- V: 22.2 Å³/atom
- Fermi-level density of states: 4.08 states/eV/cell

***

(9)
First-principles (PBE) data for a geometry-optimized Cs2PF5 structure, as listed in Alexandria.

Lattice parameters (Å, degrees): 6.3119 6.3119 6.3119 117.13 117.13 95.05
With the nearest neighbours (Å) after each atom.
Element x y z (fractional)
Cs  0.0000  0.5000  0.5000  10 F 3.17-3.35
Cs  0.5000  0.0000  0.5000  10 F 3.17-3.35
P  0.2315  0.2315  0.0000  1 F 1.67
F  0.0523  0.0523  0.5990  1 P 1.88
F  0.0523  0.4533  0.0000  1 P 1.88
F  0.4271  0.4271  0.0000  1 P 1.67
F  0.4533  0.0523  0.0000  1 P 1.88
F  0.4533  0.4533  0.4010  1 P 1.88

- V: 23.1 Å³/atom
- Fermi-level density of states: 0.00 states/eV/cell

***

(10)
First-principles (PBE) data for a geometry-optimized Cs2PF structure, as listed in Alexandria.

Lattice parameters (Å, degrees): 5.8267 5.8267 5.8267 60.00 60.00 60.00
With the nearest neighbours (Å) after each atom.
Element x y z (fractional)
Cs  0.2500  0.2500  0.2500  4 F 3.57, 4 P 3.57
Cs  0.7500  0.7500  0.7500  4 P 3.57, 4 F 3.57
P  0.0000  0.0000  0.0000  8 Cs 3.57
F  0.5000  0.5000  0.5000  8 Cs 3.57

- ΔE to the lowest computed polymorph: 168 meV per atom
- V: 35.0 Å³/atom
- Fermi-level density of states: 5.10 states/eV/cell

***

(11)
First-principles (PBE) data for a geometry-optimized CsPF structure, as listed in Alexandria.

Lattice parameters (Å, degrees): 11.4931 11.4931 11.4931 159.34 154.83 32.78
With the nearest neighbours (Å) after each atom.
Element x y z (fractional)
Cs  0.1835  0.1835  0.0000  1 F 2.76
Cs  0.8165  0.8165  0.0000  1 F 2.76
P  0.3113  0.0000  0.3113  1 P 1.89
P  0.6887  0.0000  0.6887  1 P 1.89
F  0.3086  0.3086  0.0000  1 Cs 2.76
F  0.6914  0.6914  0.0000  1 Cs 2.76

- V: 37.9 Å³/atom

***

(12)
First-principles (PBE) data for a geometry-optimized CsPF3 structure, as listed in Alexandria.

Lattice parameters (Å, degrees): 6.9995 6.9995 6.9995 130.26 130.26 72.99
With the nearest neighbours (Å) after each atom.
Element x y z (fractional)
Cs  0.2500  0.7500  0.5000  4 F 3.09
Cs  0.7500  0.2500  0.5000  4 F 3.09
P  0.0000  0.0000  0.0000  6 F 1.88-2.03
P  0.5000  0.5000  0.0000  4 F 2.14
F  0.1670  0.1670  0.0000  1 P 1.88
F  0.2435  0.2435  0.4870  2 P 2.03-2.14
F  0.2435  0.7565  0.0000  2 P 2.03-2.14
F  0.7565  0.2435  0.0000  2 P 2.03-2.14
F  0.7565  0.7565  0.5130  2 P 2.03-2.14
F  0.8330  0.8330  0.0000  1 P 1.88

- ΔE to the lowest computed polymorph: 0 meV per atom
- V: 19.5 Å³/atom
- Fermi-level density of states: 0.00 states/eV/cell

***

Respective energy relative to the elements, uncorrected values: -2.234 -2.521 -1.670 -0.383 -0.970 -1.042 -2.428 0.729 -2.533 -0.802 -1.333 -1.886 eV per atom.
Respective mass density values: 4.55 3.12 4.59 2.67 3.10 3.79 3.99 3.67 3.52 3.75 2.67 3.76 Mg/m³.